! Pu2AlCo3H12, optimized geometry, DFT GGA-PBE; values from VASP
! - electronic total energy (eV for the cell shown) = -96.4
! - DOS(E_F) (states/eV per cell) = 19.9
! - space group = R-3m, No. 166
! - spin magnetization (Bohr magnetons per cell) = 13.350
&SYSTEM
  ibrav = 0, nat = 18, ntyp = 4
/
ATOMIC_SPECIES
Pu 244.00 Pu.upf
Al 26.98 Al.upf
Co 58.93 Co.upf
H 1.01 H.upf
CELL_PARAMETERS angstrom
2.9651 1.7119 4.5077
-2.9651 1.7119 4.5077
0.0000 -3.4238 4.5077
ATOMIC_POSITIONS crystal
Pu 0.1164 0.1164 0.1164
Pu 0.8836 0.8836 0.8836
Al 0.5000 0.5000 0.5000
Co 0.0000 0.5000 0.5000
Co 0.5000 0.0000 0.5000
Co 0.5000 0.5000 0.0000
H 0.1252 0.6120 0.6120
H 0.1742 0.1742 0.6194
H 0.1742 0.6194 0.1742
H 0.3806 0.8258 0.8258
H 0.3880 0.3880 0.8748
H 0.3880 0.8748 0.3880
H 0.6120 0.1252 0.6120
H 0.6120 0.6120 0.1252
H 0.6194 0.1742 0.1742
H 0.8258 0.3806 0.8258
H 0.8258 0.8258 0.3806
H 0.8748 0.3880 0.3880